No. 1
4
Lattice="-4.125 0.576 1.103 -3.119 -0.687 -2.891 -2.613 -3.399 0.418" Properties=species:S:1:pos:R:3 comment="Si2TcPt | the Alexandria database | PBEsol | relaxed" formation_energy_uncorrected_ev_per_fu=0.58 dos_at_fermi_per_ev_atom=0.849 pbc="T T T"
Pt -4.928 -1.755 -0.685
Si 0.000 0.000 0.000
Si -7.393 -2.633 -1.028
Tc -2.464 -0.878 -0.343

---

No. 2
4
Lattice="2.850 0.000 0.000 0.000 2.850 0.000 0.000 0.000 6.679" Properties=species:S:1:pos:R:3 comment="SiTc2Pt | the Alexandria database | PBEsol | relaxed" formation_energy_uncorrected_ev_per_fu=-1.22 dos_at_fermi_per_ev_atom=0.930 pbc="T T T"
Pt 1.425 1.425 0.000
Si 1.425 1.425 3.339
Tc 0.000 0.000 4.787
Tc 0.000 0.000 1.891

---

No. 3
3
Lattice="2.775 0.000 0.000 0.000 4.168 0.000 0.000 -2.084 3.609" Properties=species:S:1:pos:R:3 comment="SiTcPt | the Alexandria database | PBEsol | relaxed" formation_energy_uncorrected_ev_per_fu=-0.73 dos_at_fermi_per_ev_atom=1.445 pbc="T T T"
Pt 2.315 0.000 0.000
Si 2.306 0.000 2.406
Tc 0.928 2.084 1.203